Entry 1:
# OsRh2AuSe

OsRh2AuSe after structural relaxation (PBE, Alexandria).

## Properties
uncorrected formation energy: 6.8 eV/f.u.
symmetry: P4/mmm (123)

Cell lengths 4.5128, 4.8089, 4.5128 Å; angles 90.00, 90.00, 90.00 degrees
With the nearest neighbours (Å) after each atom.
Atoms (fractional coordinates):
Au1 0.0000 0.5000 0.0000  2 Se 2.40
Se1 0.0000 0.0000 0.0000  4 Rh 2.26, 2 Au 2.40
Rh1 0.5000 0.0000 0.0000  2 Se 2.26
Rh2 0.0000 0.0000 0.5000  2 Se 2.26
Os1 0.5000 0.5000 0.5000  4 Au 3.19, 8 Rh 3.30

---

Entry 2:
# K3PmEr2Se6

K3PmEr2Se6 after structural relaxation (PBE, Alexandria).

## Properties
uncorrected formation energy: -21.1 eV/f.u.
symmetry: C2/m (12)

Cell lengths 7.3222, 7.3222, 8.0641 Å; angles 98.71, 98.71, 120.00 degrees
With the nearest neighbours (Å) after each atom.
Atoms (fractional coordinates):
K1 0.8347 0.1653 0.5000  6 Se 3.29-3.35
K2 0.1653 0.8347 0.5000  6 Se 3.29-3.35
K3 0.5000 0.5000 0.5000  6 Se 3.29-3.35
Se1 0.2730 0.2730 0.7946  2 Er 2.88, 1 Pm 2.96
Se2 0.4101 0.0686 0.2056  2 Er 2.88, 1 Pm 2.96
Se3 0.5899 0.9314 0.7944  2 Er 2.88, 1 Pm 2.96
Se4 0.0686 0.4101 0.2056  2 Er 2.88, 1 Pm 2.96
Se5 0.9314 0.5899 0.7944  2 Er 2.88, 1 Pm 2.96
Se6 0.7270 0.7270 0.2054  2 Er 2.88, 1 Pm 2.96
Pm1 0.0000 0.0000 0.0000  6 Se 2.96
Er1 0.6668 0.3332 0.0000  6 Se 2.88
Er2 0.3332 0.6668 0.0000  6 Se 2.88

---

> Look up the uncorrected formation energy of the second one.

-21.1 eV/f.u.

---

Please write out number 1 again, unchanged.
# OsRh2AuSe

OsRh2AuSe after structural relaxation (PBE, Alexandria).

## Properties
uncorrected formation energy: 6.8 eV/f.u.
symmetry: P4/mmm (123)

Cell lengths 4.5128, 4.8089, 4.5128 Å; angles 90.00, 90.00, 90.00 degrees
With the nearest neighbours (Å) after each atom.
Atoms (fractional coordinates):
Au1 0.0000 0.5000 0.0000  2 Se 2.40
Se1 0.0000 0.0000 0.0000  4 Rh 2.26, 2 Au 2.40
Rh1 0.5000 0.0000 0.0000  2 Se 2.26
Rh2 0.0000 0.0000 0.5000  2 Se 2.26
Os1 0.5000 0.5000 0.5000  4 Au 3.19, 8 Rh 3.30